Below is Cd3PbCl after structural relaxation, with properties calculated at the PBEsol level.

Values from the calculation:
Crystal system: cubic
Density of states at the Fermi level, states/eV/f.u.: 3.2
E_form (uncorrected), kcal/mol of atoms: 8.6
DFT total energy, eV/atom: -1.547

a = 5.261 Å, b = 5.261 Å, c = 5.261 Å
α = 90.00°, β = 90.00°, γ = 90.00°
Sites, in units of the cell vectors:
Cd 0.000 0.000 0.500
Cd 0.000 0.500 0.000
Cd 0.500 0.000 0.000
Pb 0.500 0.500 0.500
Cl 0.000 0.000 0.000

***

Below is Cd2PbCl after structural relaxation, with properties calculated at the PBEsol level.

Values from the calculation:
Crystal system: orthorhombic
Density of states at the Fermi level, states/eV/f.u.: 1.7
E_form (uncorrected), kcal/mol of atoms: -4.0
DFT total energy, eV/atom: -2.275

a = 3.396 Å, b = 3.396 Å, c = 9.371 Å
α = 90.00°, β = 90.00°, γ = 114.68°
Sites, in units of the cell vectors:
Cd 0.000 0.000 0.226
Cd 0.000 0.000 0.774
Pb 0.500 0.500 0.500
Cl 0.500 0.500 0.000

***

no.,size of the total moment (μB per cell)
1,0.00
2,0.00